P:
{"formula": "KZr2Mn", "functional": "PBE", "state": "relaxed", "lattice": [[-4.122, 8.177, -5.350], [-2.831, 6.421, -7.951], [-5.911, 5.655, -6.749]], "species": ["Mn", "Zr", "Zr", "K"], "frac_coords": [[0.750, 0.750, 0.750], [0.471, 0.471, 0.471], [0.029, 0.029, 0.029], [0.250, 0.250, 0.250]], "magnetic_moment_mub_per_cell": 1.01, "density_g_cm3": 4.42, "vol_a3_per_cell": 104.0}



Q:
{"formula": "KZr2Mn", "functional": "PBE", "state": "relaxed", "lattice": [[-4.092, 0.381, -6.157], [-3.706, -6.059, 2.088], [-7.396, 0.165, 0.475]], "species": ["Zr", "Zr", "Zr", "Zr", "K", "K", "Mn", "Mn"], "frac_coords": [[0.875, 0.625, 0.250], [0.875, 0.125, 0.750], [0.375, 0.125, 0.750], [0.875, 0.125, 0.250], [0.250, 0.750, 0.500], [0.500, 0.500, 0.000], [0.750, 0.250, 0.500], [0.000, 0.000, 0.000]], "magnetic_moment_mub_per_cell": 0.00, "density_g_cm3": 3.19, "vol_a3_per_cell": 287.7}



R:
{"formula": "KZr2Mn", "functional": "PBE", "state": "relaxed", "lattice": [[3.179, 0.000, 0.000], [0.000, 3.179, 0.000], [0.000, 0.000, 10.207]], "species": ["Mn", "Zr", "Zr", "K"], "frac_coords": [[0.500, 0.500, 0.750], [0.000, 0.000, 0.600], [0.000, 0.000, 0.900], [0.500, 0.500, 0.250]], "magnetic_moment_mub_per_cell": 0.00, "density_g_cm3": 4.45, "vol_a3_per_cell": 103.2}



Stability, descending: R, P, Q



P:
{"formula": "KZrMn", "functional": "PBE", "state": "relaxed", "lattice": [[4.987, 0.000, 0.000], [2.494, 4.319, 0.000], [2.494, 1.440, 4.072]], "species": ["K", "Mn", "Zr"], "frac_coords": [[0.500, 0.500, 0.500], [0.750, 0.750, 0.750], [0.000, 0.000, 0.000]], "magnetic_moment_mub_per_cell": 1.93, "density_g_cm3": 3.51, "vol_a3_per_cell": 87.7}



Q:
{"formula": "KZrMn", "functional": "PBE", "state": "relaxed", "lattice": [[-3.137, 0.347, -0.688], [1.563, -2.683, -0.894], [-2.063, -3.712, 7.535]], "species": ["Zr", "Mn", "K"], "frac_coords": [[0.333, 0.667, 0.616], [0.667, 0.333, 0.370], [0.000, 0.000, 0.014]], "magnetic_moment_mub_per_cell": 3.64, "density_g_cm3": 3.93, "vol_a3_per_cell": 78.2}



R:
{"formula": "KZrMn", "functional": "PBE", "state": "relaxed", "lattice": [[5.052, 0.000, 0.000], [2.526, 4.375, 0.000], [2.526, 1.458, 4.125]], "species": ["K", "Mn", "Zr"], "frac_coords": [[0.750, 0.750, 0.750], [0.000, 0.000, 0.000], [0.500, 0.500, 0.500]], "magnetic_moment_mub_per_cell": 1.97, "density_g_cm3": 3.37, "vol_a3_per_cell": 91.2}



S:
{"formula": "KZrMn", "functional": "PBE", "state": "relaxed", "lattice": [[8.279, 0.325, 0.000], [6.865, 4.638, 0.000], [-7.572, -2.482, 2.269]], "species": ["Zr", "Mn", "K"], "frac_coords": [[0.706, 0.706, 0.000], [0.308, 0.308, 0.000], [0.987, 0.987, 0.000]], "magnetic_moment_mub_per_cell": 3.22, "density_g_cm3": 3.75, "vol_a3_per_cell": 82.1}



Stability, descending: S, Q, P, R